[1]
A plane-wave DFT calculation with GGA-PBE was carried out for an optimized crystal structure of Zr2CrIrPt.

extended XYZ file:
```
5
Lattice="-4.8736 -1.0032 0.3259 1.0335 -4.3511 2.0609 -0.1319 2.1081 4.5170" Properties=species:S:1:pos:R:3 pbc="T T T"
Pt 0.0000 0.0000 0.0000
Cr -1.9860 -1.6231 3.4519
Ir 0.5167 -2.1755 1.0304
Zr -2.4368 -0.5016 0.1630
Zr -0.0659 1.0541 2.2585
```

Calculated volume in Å³/cell: 122.44
DOS(E_F) in states/eV/cell: 5.7
Space group: P4/mmm



[2]
A plane-wave DFT calculation with GGA-PBE was carried out for an optimized crystal structure of Tb3PmSm2Y6.

extended XYZ file:
```
12
Lattice="6.2125 0.0013 0.0066 -3.1036 5.3817 0.0066 -1.0434 -1.8066 11.6600" Properties=species:S:1:pos:R:3 pbc="T T T"
Pm 0.0000 0.0000 0.0000
Tb 1.0328 1.7882 5.8366
Tb 4.1375 -0.0049 5.8366
Tb -2.0720 3.5813 5.8366
Sm 3.1066 1.7951 0.0066
Sm 0.0023 3.5879 0.0066
Y 3.1008 1.7830 8.7346
Y 2.0718 3.5872 2.9461
Y -1.0353 1.7934 2.9386
Y -0.0062 -0.0108 8.7272
Y 2.0708 -0.0005 2.9386
Y -0.0053 3.5769 8.7346
```

Calculated volume in Å³/cell: 390.04
DOS(E_F) in states/eV/cell: 16.3
Space group: C2/m



no.,final energy (eV/cell)
1,-37.5
2,-66.7